Ho2Mo3O12: PBEsol geometry, SCAN.

Structure (extended XYZ):
```
68
Lattice="10.2498 0.0000 0.0000 0.0000 10.2755 0.0000 0.0000 0.0000 10.5242" Properties=species:S:1:pos:R:3 pbc="T T T"
O 1.4588 8.4128 1.2090
O 5.0721 1.2974 7.4326
O 6.4226 5.0897 3.4021
Ho 3.2147 10.2375 7.9079
O 8.7070 6.8059 3.3373
O 10.1970 3.8403 7.4326
Mo 7.7568 7.7699 0.1474
O 6.8768 1.4424 9.6123
Mo 3.0218 10.1691 3.8996
O 8.7911 1.8627 1.2090
O 3.2637 1.2833 9.6695
O 6.3853 6.3548 7.7019
Ho 5.0648 3.2238 2.9184
Ho 5.1850 7.0517 2.9184
Ho 8.3396 5.1758 7.9079
Mo 10.2239 8.1598 6.9217
Mo 0.0260 2.1157 6.9217
O 1.1908 6.3666 3.2254
Ho 1.9102 5.0997 7.9079
O 8.9521 10.2275 3.4021
O 4.9351 3.1389 5.1883
Mo 2.1031 5.0313 3.8996
O 5.1777 8.9781 7.4326
O 1.2977 0.0480 3.4021
O 1.5428 3.4696 3.3373
O 1.9781 5.0357 5.6431
O 3.8645 3.9207 7.7019
Mo 7.6180 2.6321 0.1474
O 1.2527 1.7606 1.1440
O 3.6661 3.2750 1.2090
Ho 7.0351 0.0381 7.9079
O 0.1898 8.2767 5.1883
O 1.8612 6.4211 9.6695
O 6.3157 9.0467 3.2254
Mo 8.1468 5.2442 3.8996
Ho 10.1897 1.9140 2.9184
Mo 2.4931 2.5056 0.1474
O 8.9894 1.2170 7.7019
O 8.9972 8.5149 1.1440
Mo 2.6319 7.6434 0.1474
O 6.6678 1.6681 3.3373
O 10.0600 1.9989 5.1883
Mo 7.2280 0.1065 3.8996
O 6.7397 3.6114 7.3625
O 8.3886 3.8544 9.6695
O 1.2604 9.0585 7.7019
O 3.5101 6.6641 7.3625
Ho 0.0601 8.3615 2.9184
O 8.2718 5.2398 5.6431
O 3.9342 1.2288 3.2254
O 3.8272 5.1858 3.4021
O 8.6350 8.7492 7.3625
Mo 5.1509 3.0221 6.9217
O 6.9861 8.9922 9.6695
O 3.8722 6.8984 1.1440
O 3.3730 8.8331 9.6123
Mo 5.0989 7.2534 6.9217
O 6.5837 7.0005 1.2090
O 1.6148 1.5264 7.3625
O 3.5821 8.6074 3.3373
O 9.0591 3.9089 3.2254
O 0.0528 6.4352 7.4326
O 6.3776 3.3771 1.1440
O 5.3147 7.1366 5.1883
O 3.1468 10.1735 5.6431
O 1.7519 3.6954 9.6123
O 7.1030 0.1020 5.6431
O 8.4979 6.5801 9.6123
```

Computed properties:
Energy: -19.06 eV/atom
Calculated volume: 277.11 Å³/f.u.
M_tot: 0.00 μB per formula unit
E_form (uncorrected): -4499 kJ/mol of formula units
Symmetry: Pba2, No. 32

RbHoMo2O8: PBEsol geometry, SCAN.

Structure (extended XYZ):
```
24
Lattice="-3.4576 -5.3640 3.6844 -1.7692 -3.4278 -6.2788 2.4438 -7.1366 -0.9728" Properties=species:S:1:pos:R:3 pbc="T T T"
Ho -1.2358 -10.2704 0.6595
O -1.6295 -8.6016 -0.7942
O -3.5814 -6.6537 -1.0896
O -0.2982 -11.3154 -1.0960
O -0.0069 -4.3751 -2.5339
O -3.4633 -7.3718 -3.7020
Rb -2.5160 -6.7690 1.4901
O 0.6803 -8.5565 0.1349
O -2.7761 -11.5533 -1.0333
O -0.0549 -3.4420 0.1561
O 1.4322 -6.7062 -1.8949
O -2.7281 -12.4863 -3.7233
O -4.2152 -9.2221 -1.6723
Mo 0.2143 -7.9388 -1.5128
Mo -2.9973 -7.9895 -2.0544
Rb -0.2670 -9.1594 -5.0573
O -2.4848 -4.6129 -2.4712
O -2.1019 -9.9266 -3.0958
O -1.1535 -7.3267 -2.7730
Ho -1.5472 -5.6580 -4.2267
O -0.6811 -6.0017 -0.4713
Mo -1.0096 -4.3728 -1.0147
O 0.7984 -9.2746 -2.4776
Mo -1.7734 -11.5555 -2.5525
```

Computed properties:
Energy: -18.42 eV/atom
Calculated volume: 156.16 Å³/f.u.
M_tot: 0.00 μB per formula unit
E_form (uncorrected): -3059 kJ/mol of formula units
Symmetry: C2/c, No. 15

HoSbMo2O9: PBEsol geometry, SCAN.

Structure (extended XYZ):
```
52
Lattice="-1.9308 7.0822 -6.0168 6.0753 -4.3970 -5.8175 -8.5724 -5.9419 2.1258" Properties=species:S:1:pos:R:3 pbc="T T T"
Ho -1.3601 -7.4107 -4.2482
O -5.4821 -0.0453 -6.4703
O 0.9953 -4.2886 -5.9157
O -4.3261 2.5626 -6.5605
O 1.3609 -0.6583 -3.5311
Mo -3.4212 -5.6468 -1.3918
O 1.7386 0.1087 -5.9120
O -5.7887 -2.5984 -6.1774
O -2.4384 -3.1505 -6.9604
Mo -2.2562 -4.9347 -7.1783
O 1.0543 -3.2113 -3.2382
O 2.4542 -2.3079 -7.4423
O -5.9597 -2.6612 -0.1694
Ho -3.0677 4.1541 -5.4603
O -7.2720 -5.2835 0.9560
Sb -6.9201 -4.5346 -2.2516
Sb -2.1043 -1.2479 -6.4018
Mo 1.2501 -0.9775 -1.7408
Mo -2.1716 1.6780 -2.5302
Sb 2.4923 1.2780 -7.4569
O -9.7299 -1.1309 -2.2181
O -3.4870 -1.5153 -4.8725
O -1.6836 2.7747 -6.7663
O -5.0287 -4.8649 -1.6542
O -6.1664 -3.3654 -3.7965
O 0.6009 1.6083 -8.0543
O -4.1601 -1.5509 -8.5112
Ho 1.2935 -2.0991 -5.3517
O -0.1017 -5.8193 -3.1480
O -1.2278 -1.2512 -9.5963
O 3.4417 -2.5619 -4.7417
O 1.5319 -0.5955 -9.5391
Ho -5.7214 -1.1576 -4.3568
O -4.3759 -1.5493 -2.5044
O -2.7443 -6.0314 -2.9422
O -3.2000 -2.0055 -0.1122
O 2.8442 2.0269 -10.6645
Mo -4.7429 -1.5012 -0.7204
Mo 0.3151 -1.7554 -8.9881
O -7.8695 -0.6947 -4.9668
Sb -2.3235 -2.0088 -3.3067
O -6.8820 -0.9487 -2.2662
Mo -5.6779 -2.2791 -7.9677
O -1.9894 -0.1062 -2.7481
O -2.1546 -5.6664 -5.6085
O -0.9408 -1.7414 -4.8360
O -2.2732 2.4097 -4.1000
O 5.3021 -2.1258 -7.4904
Mo -1.0066 2.3901 -8.3167
O -0.0519 -1.7073 -7.2041
O -0.2677 -1.7058 -1.1973
O -5.4231 1.0319 -3.7928
```

Computed properties:
Energy: -18.72 eV/atom
Calculated volume: 197.62 Å³/f.u.
M_tot: 0.00 μB per formula unit
E_form (uncorrected): -3012 kJ/mol of formula units
Symmetry: C2/c, No. 15

Ho2Si4Mo3: PBEsol geometry, SCAN.

Structure (extended XYZ):
```
18
Lattice="-5.5602 0.8017 3.6025 2.2270 -6.3561 0.7713 3.7582 1.9676 5.3626" Properties=species:S:1:pos:R:3 pbc="T T T"
Ho -0.1818 0.5587 5.7588
Ho 3.2038 0.4749 4.8216
Si -1.6761 -0.1866 1.6277
Mo 2.9926 -2.1943 3.0670
Ho 0.6069 -4.1455 3.9777
Mo -2.9923 -0.6657 3.7650
Si -0.4597 -0.7923 8.1839
Mo -0.0145 -2.8614 6.8429
Si -2.9086 1.0245 5.6371
Ho -2.7788 -4.0617 4.9149
Si 1.4304 -1.6591 5.1127
Si 0.8847 -2.7946 1.5526
Si 3.3337 -4.6113 4.0993
Mo -1.6666 -2.7772 2.1869
Mo 0.4395 -0.7254 2.8936
Si 2.1011 -3.4002 8.1088
Mo 3.4173 -2.9211 5.9715
Si -1.0054 -1.9278 4.6238
```

Computed properties:
Energy: -27.64 eV/atom
Calculated volume: 146.27 Å³/f.u.
M_tot: 0.00 μB per formula unit
E_form (uncorrected): -586 kJ/mol of formula units
Symmetry: P2_1/c, No. 14

HoN: PBEsol geometry, SCAN.

Structure (extended XYZ):
```
2
Lattice="3.4085 0.0000 0.0000 1.7043 2.9519 0.0000 1.7043 0.9840 2.7831" Properties=species:S:1:pos:R:3 pbc="T T T"
Ho 0.0000 0.0000 0.0000
N 3.4085 1.9679 1.3915
```

Computed properties:
Energy: -31.19 eV/atom
Calculated volume: 28.00 Å³/f.u.
M_tot: 0.00 μB per formula unit
E_form (uncorrected): -396 kJ/mol of formula units
Symmetry: Fm-3m, No. 225

Ho3Te3N: PBEsol geometry, SCAN.

Structure (extended XYZ):
```
28
Lattice="7.9752 -0.0420 0.0000 -2.8119 8.0068 0.0000 0.0000 0.0000 11.7736" Properties=species:S:1:pos:R:3 pbc="T T T"
N 0.1315 7.0068 0.4073
Ho -0.5142 6.7330 2.4620
Te 7.5644 0.0646 2.2193
Ho -0.7381 5.6408 10.7317
N 3.6258 4.9615 6.2942
Te -0.9952 3.8968 8.1061
Ho 5.6775 1.2318 9.3117
Te 3.5483 1.4798 2.7704
Ho 5.9013 2.3240 1.0419
Te -0.7466 7.3599 5.6461
Ho 3.7669 2.8459 5.6439
Ho 1.3963 5.1189 6.1297
Ho 0.8918 2.7296 3.4248
Ho 2.8023 1.1155 11.5307
Te 6.1585 4.0680 3.6675
Te 4.5040 4.6083 11.5329
Te 5.9099 0.6049 6.1276
Ho 4.4954 6.3274 4.8449
Ho 0.6679 1.6374 6.9288
Te 3.0209 2.4816 8.6572
Ho 2.3610 6.8493 0.2429
N 5.0318 0.9580 11.3663
Te 1.6149 6.4850 9.0032
Ho 4.2715 5.2352 8.3488
Te 0.6593 3.3565 0.2408
Te -2.4011 7.9002 9.5543
N 1.5375 3.0033 5.4795
Te 2.1424 5.4832 3.1164
```

Computed properties:
Energy: -39.97 eV/atom
Calculated volume: 187.61 Å³/f.u.
M_tot: 0.00 μB per formula unit
E_form (uncorrected): -1140 kJ/mol of formula units
Symmetry: P2_1/c, No. 14

NaHoP4O12: PBEsol geometry, SCAN.

Structure (extended XYZ):
```
72
Lattice="7.1639 0.0308 0.0000 0.0749 9.6733 0.0000 0.0000 0.0000 13.0227" Properties=species:S:1:pos:R:3 pbc="T T T"
O 5.1609 1.3526 12.7594
O 4.1404 8.1259 1.6631
O 1.6822 5.8748 9.2620
O 2.0287 2.8137 6.6737
P 6.3072 7.1420 11.5134
O 6.5840 2.9121 1.0665
O 5.6225 3.5303 6.2480
O 6.7180 6.4303 8.1744
O 5.2102 6.8904 6.3490
Ho 3.7117 5.0695 10.1530
P 4.5511 7.4141 5.0021
O 5.7229 5.8411 11.0629
O 5.2267 1.0536 10.2721
Ho 0.0922 0.2174 9.3810
O 1.7434 8.8621 10.8818
P 5.4339 7.3337 7.8679
O 4.1994 1.9708 7.5778
O 5.1429 5.7514 1.4690
P 5.2703 1.9946 1.2107
P 1.9686 7.7095 11.8120
O 6.5678 7.7539 2.1802
P 1.8049 2.3704 5.1548
P 1.8145 2.4817 11.6662
P 1.1224 6.7522 8.1855
O 0.6711 1.9502 10.8425
O 4.5831 6.2657 4.0511
O 1.5160 3.8630 1.9598
O 2.0780 8.3515 0.2633
O 5.4955 0.8420 2.1409
O 4.1110 2.9038 1.4786
O 2.0960 3.9527 11.5537
O 2.3863 6.2925 1.7368
O 1.5235 0.8994 5.0423
O 2.0122 8.6505 2.7506
O 0.5209 3.2738 4.8483
O 4.2905 6.8023 8.6915
O 0.9637 1.4137 2.4603
P 2.5719 7.7732 1.6741
O 3.0395 7.7334 5.4449
O 5.6482 7.6658 12.8604
P 5.4244 7.2224 1.3565
Na 3.6558 9.0917 9.4285
O 1.6164 6.1739 6.7747
P 5.5131 2.8883 7.7221
O 1.5907 2.0383 0.1623
O 0.6549 6.7920 11.9562
O 4.8526 3.4116 11.2859
O 6.2752 8.2904 10.5624
Na 0.0364 4.2396 10.1055
O 5.7154 8.8048 7.9804
P 2.6878 2.2900 8.0206
P 6.1165 2.9519 4.8372
O 3.1279 6.8003 11.5440
P 0.9317 2.5621 1.5093
O 5.5567 3.8293 3.7607
O 2.9483 2.9018 4.3312
O 5.9308 1.4712 4.7746
O 2.6558 3.4384 8.9716
O 5.1354 8.7150 4.5515
O 2.1035 0.9891 8.4712
O 0.5665 7.7250 5.0327
Na 3.5831 0.6124 3.5941
P 1.7258 6.8158 5.3006
O 5.2879 4.0409 8.6522
O 1.9510 5.6632 4.3705
Ho 7.1467 9.4867 3.6417
Ho 3.5272 4.6346 2.8697
O 3.0985 1.5783 11.3596
O 1.3081 8.2329 8.2481
P 4.6669 1.9309 11.3486
O 6.6724 1.9791 7.9900
Na 7.2025 5.4645 2.9172
```

Computed properties:
Energy: -12.14 eV/atom
Calculated volume: 225.61 Å³/f.u.
M_tot: 0.00 μB per formula unit
E_form (uncorrected): -4719 kJ/mol of formula units
Symmetry: P2_1/c, No. 14

Na2HoPWO8: PBEsol geometry, SCAN.

Structure (extended XYZ):
```
52
Lattice="-1.6955 -2.7812 6.0164 -3.5862 -10.5859 -2.0143 7.4505 -8.2963 2.1545" Properties=species:S:1:pos:R:3 pbc="T T T"
Na -0.3604 -8.4523 3.7258
P -4.1110 -12.5168 2.7801
O 4.0626 -14.7586 1.7973
O -2.1082 -8.7255 0.9241
W -0.6920 -14.2504 0.9973
Na 2.7438 -17.6785 4.3159
Na 0.4896 -14.8489 4.9887
Ho 4.2009 -10.7925 5.9196
O -0.9754 -3.1849 4.0176
O 1.7872 -4.9264 2.4212
O 5.1272 -9.9287 4.0632
O -1.1180 -13.8802 2.7101
O 4.2769 -12.9379 5.2325
O -0.8959 -12.7963 -0.0498
O -3.4834 -12.9298 4.1392
O 0.9262 -12.6761 4.1962
W -1.8099 -7.1671 0.0667
O 0.2074 -10.0918 -0.1450
O -0.8357 -6.1234 1.1287
O -0.4648 -10.8602 2.0567
O 2.0964 -19.9106 5.0715
O 1.2425 -8.9873 1.9604
Na 2.5291 -13.2111 2.4307
O 3.1441 -18.4785 2.1389
W 2.8607 -7.4129 5.1592
O 1.9739 -11.2440 1.2635
O 3.0045 -15.5400 5.0278
O 2.6335 -10.8032 4.0998
O -1.8939 -6.9047 4.3592
O 1.0189 -14.7372 0.9495
O 5.6521 -8.7336 2.0173
Ho -1.3174 -11.9373 3.8353
O 3.0646 -8.8671 6.2063
Na -0.2311 -5.1283 5.2989
O 4.7459 -11.4490 1.5967
Ho -2.0322 -10.8709 0.2369
W 3.9786 -14.4962 6.0898
Na -0.5751 -3.9849 1.8406
O 3.2868 -7.7831 3.4464
O -2.5772 -10.2144 4.5599
P 0.7613 -10.2913 1.2920
O 0.3815 -16.7370 3.7353
O 0.1948 -10.4194 4.8930
O -2.9585 -11.7346 2.0933
P 1.4074 -11.3720 4.8645
Ho 3.4862 -9.7261 2.3213
Na 2.3998 -16.5351 0.8576
P 6.2797 -9.1465 3.3764
O 0.0724 -1.7528 1.0850
O 1.9613 -11.5716 6.3015
O 1.1498 -6.9262 5.2071
Na 1.6791 -6.8145 1.1678
```

Computed properties:
Energy: -17.19 eV/atom
Calculated volume: 185.19 Å³/f.u.
M_tot: 0.00 μB per formula unit
E_form (uncorrected): -3482 kJ/mol of formula units
Symmetry: Ibca, No. 73

NaHo9Si6O26: PBEsol geometry, SCAN.

Structure (extended XYZ):
```
42
Lattice="6.7192 0.0000 0.0000 0.0000 9.2602 0.0000 0.0000 -4.6301 8.0196" Properties=species:S:1:pos:R:3 pbc="T T T"
O 6.3282 7.3118 1.9636
O 0.3661 0.6485 7.9008
Si 5.0397 -1.0499 2.4335
Si 1.6554 -2.6675 5.6439
O 0.3661 -2.5364 4.6308
Si 1.6554 1.5914 7.5078
O 0.3661 1.8879 3.5076
O 5.0234 1.5357 5.2683
Ho 5.0336 5.7271 4.5398
O 1.6824 1.5900 5.8586
Ho 5.0336 5.6981 0.7899
O 3.7825 7.2576 2.0117
O 6.3282 3.9038 5.3504
Si 1.6554 1.0761 2.8875
Ho 0.0117 0.0000 0.0000
Ho 1.6875 3.5010 0.7982
O 5.0234 -0.8355 4.0555
O 1.6866 4.6301 2.6732
O 5.0234 -0.7002 6.7154
O 5.0936 4.6301 2.6732
O 2.9709 1.8894 3.4384
Ho 1.6875 6.8185 2.6329
Ho 5.0336 2.4651 2.6899
Si 5.0397 3.0476 5.8936
O 5.1437 -3.3738 6.8571
O 5.1437 0.3786 1.6692
Si 5.0397 -1.9977 7.7121
O 1.5935 7.6448 0.2203
O 2.9709 0.7077 7.9366
O 1.5935 5.2470 6.5104
Na 3.3281 0.0000 0.0000
O 1.6824 -1.2385 6.4672
Ho 1.6875 3.5708 4.5886
O 6.3282 2.6747 0.7056
O 3.7825 3.8893 5.2794
O 3.7825 2.7434 0.7285
O 1.5935 0.9985 1.2888
Ho 3.3597 0.0000 5.3464
O 1.6824 -0.3514 3.7134
O 2.9709 -2.5970 4.6641
Ho 6.7034 0.0000 5.3464
O 5.1437 2.9953 7.5128
```

Computed properties:
Energy: -19.47 eV/atom
Calculated volume: 498.99 Å³/f.u.
M_tot: 0.00 μB per formula unit
E_form (uncorrected): -14521 kJ/mol of formula units
Symmetry: P3, No. 143

HoNbO4: PBEsol geometry, SCAN.

Structure (extended XYZ):
```
12
Lattice="5.0694 -0.0338 0.0000 -0.3915 5.2433 0.0000 -2.3390 -2.6047 5.4410" Properties=species:S:1:pos:R:3 pbc="T T T"
O 0.0875 1.3038 5.1080
O 2.4779 0.8306 3.1258
Ho -1.4631 2.6301 4.0379
Nb 1.0716 2.6132 1.1539
O 0.0568 -0.8476 3.1258
Nb 1.2674 -0.0085 4.2871
O 2.2515 1.3009 0.3330
O 2.2822 3.4523 2.3152
O 2.4473 -1.3207 5.1080
Ho 3.8021 -0.0254 1.4031
O -0.1389 1.7741 2.3152
O -0.1083 3.9254 0.3330
```

Computed properties:
Energy: -21.24 eV/atom
Calculated volume: 72.28 Å³/f.u.
M_tot: 0.00 μB per formula unit
E_form (uncorrected): -1968 kJ/mol of formula units
Symmetry: C2/c, No. 15